Mg2ScSb | SCAN | PBEsol geometry Values from VASP.

Geometry as Quantum ESPRESSO input:
```
&SYSTEM
  ibrav = 0, nat = 4, ntyp = 3
/
ATOMIC_SPECIES
Sc 44.96 Sc.upf
Sb 121.76 Sb.upf
Mg 24.30 Mg.upf
ATOMIC_POSITIONS crystal
Sc 0.5000 0.0000 0.0000
Sb 0.0000 0.5000 0.0000
Mg 0.0000 0.0000 0.5000
Mg 0.5000 0.5000 0.5000
CELL_PARAMETERS angstrom
3.2356 -0.0130 0.0000
-0.0677 5.0775 0.0000
-1.5840 -2.5323 5.5317
```

Calculated values
Crystal system: monoclinic
Calculated total energy, eV per atom: -15.62
Size of the total moment, μB/f.u.: 0.00
Formation energy without anion corrections, meV/atom: -262.7